ZrCoIr3 (PBE-GGA, relaxed); space group = Pm-3m; crystal system = cubic; total magnetization = 0.66 μB/atom; E_form = 3.3 eV per formula unit
1.0
4.466 0.000 0.000
0.000 4.466 0.000
0.000 0.000 4.466
Zr Co Ir
1 1 3
direct
0.000 0.000 0.000
0.500 0.500 0.500
0.000 0.500 0.500
0.500 0.000 0.500
0.500 0.500 0.000



CsFeTe2N (PBE-GGA, relaxed); space group = P4/mmm; crystal system = tetragonal; total magnetization = 0.27 μB/atom; formation energy without anion corrections = 0.146 eV/atom
1.0
6.172 0.000 0.000
0.000 6.172 0.000
0.000 0.000 3.473
Cs Fe Te N
1 1 2 1
direct
0.000 0.000 0.000
0.500 0.500 0.500
0.000 0.500 0.500
0.500 0.000 0.500
0.500 0.500 0.000



NaCr2NiPt (PBE-GGA, relaxed); space group = P4/mmm; crystal system = tetragonal; total magnetization = 1.67 μB/atom; E_form = 4.5 eV per formula unit
1.0
4.915 0.000 0.000
0.000 4.915 0.000
0.000 0.000 4.747
Na Cr Ni Pt
1 2 1 1
direct
0.000 0.000 0.000
0.000 0.500 0.500
0.500 0.000 0.500
0.500 0.500 0.000
0.500 0.500 0.500